Entry from Alexandria via LeMat-Bulk: a relaxed structure of BaCuTe2 (GGA-PBEsol).

Geometry as POSCAR:
```
BaCuTe2
1.0
1.9358 1.1176 9.6411
-1.9358 1.1176 9.6411
0.0000 -2.2352 9.6411
Ba Cu Te
1 1 2
Direct
0.0000 0.0000 0.0000
0.5000 0.5000 0.5000
0.1159 0.1159 0.1159
0.8841 0.8841 0.8841
```

Properties
- VASP energy: -3.468 eV/atom
- Raw formation energy: -0.338 eV per formula unit